[1]
Compound: PrPu2UP4
Source: Alexandria
Functional: PBE
Structure: relaxed

Summary:
- Calculated total energy: -9.44 eV per atom
- Formation energy from the elements: -1148 meV/atom
- Theoretical density: 8.881 g/cm3
- N(E_F): 26.33 states/eV/f.u.

a b c (Å): 5.7016 5.7016 11.3983
angles (deg): 90.00 90.00 90.00
Space group I-4m2 (No. 119)
Asymmetric unit:
1 Pr 0.0000 0.0000 0.0000 x2
2 Pu 0.0000 0.0000 0.5000 x2
3 Pu 0.0000 0.5000 0.2500 x2
4 U 0.0000 0.5000 0.7500 x2
5 P 0.0000 0.0000 0.2567 x4
6 P 0.0000 0.5000 0.5047 x4


[2]
Compound: K3Te4As2
Source: Alexandria
Functional: PBE
Structure: relaxed

Summary:
- Calculated total energy: -3.30 eV per atom
- Theoretical density: 3.528 g/cm3
- N(E_F): 2.39 states/eV/f.u.
- Raw formation energy: -0.50 eV per atom

a b c (Å): 13.4232 12.3469 8.9359
angles (deg): 90.00 98.69 90.00
Space group C2/c (No. 15)
Asymmetric unit:
1 K 0.0000 0.1102 0.2500 x4
2 K 0.1516 0.3761 0.6521 x8
3 Te 0.1130 0.3197 0.0377 x8
4 Te 0.1732 0.0673 0.6020 x8
5 As 0.1941 0.1290 0.8942 x8